DFT (PBE) results for a geometry-optimized K2InAgBr5 structure.

CIF file:
```
data_K2InAgBr5
_symmetry_space_group_name_H-M 'C m c 21'
_symmetry_Int_Tables_number 36
_cell_length_a 4.991
_cell_length_b 19.173
_cell_length_c 13.216
_cell_angle_alpha 90.00
_cell_angle_beta 90.00
_cell_angle_gamma 90.00
loop_
_symmetry_equiv_pos_as_xyz
'x,y,z'
'-x,-y,z+1/2'
'-x,y,z'
'x,-y,z+1/2'
'x+1/2,y+1/2,z'
'-x+1/2,-y+1/2,z+1/2'
'-x+1/2,y+1/2,z'
'x+1/2,-y+1/2,z+1/2'
loop_
_atom_site_label
_atom_site_fract_x
_atom_site_fract_y
_atom_site_fract_z
K1 0.000 0.108 0.000
K2 0.000 0.119 0.657
In1 0.000 0.414 0.775
Ag1 0.000 0.248 0.435
Br1 0.000 0.046 0.339
Br2 0.000 0.301 0.646
Br3 0.000 0.308 0.959
Br4 0.000 0.365 0.329
Br5 0.000 0.499 0.598
```

* uncorrected formation energy: -1.06 eV/atom
* magnetic moment: 0.00 μB/cell

***

DFT (PBE) results for a geometry-optimized CaY2AlRu structure.

CIF file:
```
data_CaY2AlRu
_symmetry_space_group_name_H-M 'P 4/m m m'
_symmetry_Int_Tables_number 123
_symmetry_space_group_name_Hall '-P 4 2'
_cell_length_a 5.333
_cell_length_b 5.333
_cell_length_c 4.972
_cell_angle_alpha 90.00
_cell_angle_beta 90.00
_cell_angle_gamma 90.00
loop_
_atom_site_label
_atom_site_fract_x
_atom_site_fract_y
_atom_site_fract_z
Ca1 0.000 0.000 0.000
Y1 0.000 0.500 0.500
Al1 0.500 0.500 0.000
Ru1 0.500 0.500 0.500
```

* magnetic moment: 0.00 μB/cell
* calculated formation energy: -0.178 eV/atom

***

DFT (PBE) results for a geometry-optimized CsBS2 structure.

CIF file:
```
data_CsBS2
_symmetry_space_group_name_H-M 'P n a 21'
_symmetry_Int_Tables_number 33
_cell_length_a 7.310
_cell_length_b 11.835
_cell_length_c 5.492
_cell_angle_alpha 90.00
_cell_angle_beta 90.00
_cell_angle_gamma 90.00
loop_
_symmetry_equiv_pos_as_xyz
'x,y,z'
'-x,-y,z+1/2'
'-x+1/2,y+1/2,z+1/2'
'x+1/2,-y+1/2,z'
loop_
_atom_site_label
_atom_site_fract_x
_atom_site_fract_y
_atom_site_fract_z
Cs1 0.073 0.156 0.000
B1 0.082 0.448 0.395
S1 0.081 0.458 0.052
S2 0.248 0.352 0.498
```

* uncorrected formation energy: -0.84 eV/atom
* magnetic moment: 0.00 μB/cell